# Ce8GaTc2, relaxed, DFT PBE
data_Ce8GaTc2
_cell_length_a 8.3599
_cell_length_b 13.4387
_cell_length_c 5.0719
_cell_angle_alpha 90.00
_cell_angle_beta 106.35
_cell_angle_gamma 90.00
_space_group_name_H-M_alt 'C 1 2/m 1'
_space_group_IT_number 12
_space_group_name_Hall '-C 2y'
loop_
_atom_site_label
_atom_site_type_symbol
_atom_site_fract_x
_atom_site_fract_y
_atom_site_fract_z
Ce1 Ce 0.0000 0.2480 0.0000
Ce2 Ce 0.0937 0.5000 0.8065
Ce3 Ce 0.1790 0.1048 0.5745
Ga1 Ga 0.0000 0.0000 0.0000
Tc1 Tc 0.0000 0.3052 0.5000
# Crystal system ... monoclinic
# E above lowest polymorph ... 0.006 eV/atom

***

# CeGa3Tc3, relaxed, DFT PBE
data_CeGa3Tc3
_cell_length_a 6.7945
_cell_length_b 6.7945
_cell_length_c 6.7945
_cell_angle_alpha 90.00
_cell_angle_beta 90.00
_cell_angle_gamma 90.00
_space_group_name_H-M_alt 'P m -3 n'
_space_group_IT_number 223
_space_group_name_Hall '-P 4n 2 3'
loop_
_atom_site_label
_atom_site_type_symbol
_atom_site_fract_x
_atom_site_fract_y
_atom_site_fract_z
Ce1 Ce 0.0000 0.0000 0.0000
Ga1 Ga 0.0000 0.2500 0.5000
Tc1 Tc 0.0000 0.5000 0.2500
# Total DFT energy (no corrections) ... -5.92 eV per atom
# Crystal system ... cubic

***

# CeGa3Tc, relaxed, DFT PBE
data_CeGa3Tc
_cell_length_a 12.1441
_cell_length_b 5.7243
_cell_length_c 5.4639
_cell_angle_alpha 90.00
_cell_angle_beta 101.85
_cell_angle_gamma 90.00
_space_group_name_H-M_alt 'C 1 2/m 1'
_space_group_IT_number 12
_space_group_name_Hall '-C 2y'
loop_
_atom_site_label
_atom_site_type_symbol
_atom_site_fract_x
_atom_site_fract_y
_atom_site_fract_z
Ce1 Ce 0.0914 0.0000 0.2933
Ga1 Ga 0.1500 0.2473 0.8228
Ga2 Ga 0.1863 0.5000 0.3290
Tc1 Tc 0.0000 0.5000 0.0000
Tc2 Tc 0.0000 0.5000 0.5000
# Crystal system ... monoclinic
# E above lowest polymorph ... 0.000 eV/atom